Compound: H2S2Cl
Source: Alexandria
Functional: PBE
Structure: relaxed

Cell: 3.9489 3.9489 7.6392 Å, 90.00 90.00 90.00°
With the nearest neighbours (Å) after each atom.
Sites, in units of the cell vectors:
H  0.0000  0.5000  0.2500  4 S 2.15
H  0.0000  0.5000  0.7500  4 S 2.15
H  0.5000  0.0000  0.2500  4 S 2.15
H  0.5000  0.0000  0.7500  4 S 2.15
S  0.0000  0.0000  0.1396  1 S 2.13, 4 H 2.15
S  0.0000  0.0000  0.8604  1 S 2.13, 4 H 2.15
S  0.5000  0.5000  0.3604  1 S 2.13, 4 H 2.15
S  0.5000  0.5000  0.6396  1 S 2.13, 4 H 2.15
Cl  0.0000  0.0000  0.5000  8 H 2.75, 10 S 2.75-2.99
Cl  0.5000  0.5000  0.0000  8 H 2.75, 10 S 2.75-2.99

Results
Energy above the most stable polymorph in this dataset = 390.7 meV per atom
SG = No. 139

=====

Compound: KAs4Rh
Source: Alexandria
Functional: PBE
Structure: relaxed

Cell: 5.6552 5.6552 5.6552 Å, 60.00 60.00 60.00°
With the nearest neighbours (Å) after each atom.
Sites, in units of the cell vectors:
K  0.0000  0.0000  0.0000  12 As 3.33, 4 Rh 3.46
As  0.3818  0.3818  0.3818  6 As 2.67-2.98
As  0.3818  0.3818  0.8546  6 As 2.67-2.98
As  0.3818  0.8546  0.3818  6 As 2.67-2.98
As  0.8546  0.3818  0.3818  6 As 2.67-2.98
Rh  0.7500  0.7500  0.7500  12 As 3.30, 4 K 3.46

Results
Energy of formation from the pure elements = 8.48 kcal/mol of atoms
SG = No. 216

=====

Compound: PbSeF5
Source: Alexandria
Functional: PBE
Structure: relaxed

Cell: 5.8326 5.8326 9.4279 Å, 111.30 111.30 67.37°
With the nearest neighbours (Å) after each atom.
Sites, in units of the cell vectors:
Pb  0.0528  0.9472  0.7500  3 F 2.36-2.45
Pb  0.9472  0.0528  0.2500  3 F 2.36-2.45
Se  0.5000  0.5000  0.0000  4 F 1.96-1.99
Se  0.5000  0.5000  0.5000  4 F 1.96-1.99
F  0.1595  0.7622  0.0024  1 Se 1.99
F  0.2234  0.3365  0.3817  1 Se 1.96
F  0.2378  0.8405  0.4976  1 Se 1.99
F  0.3365  0.2234  0.8817  1 Se 1.96
F  0.4183  0.5817  0.7500  1 Pb 2.36, 2 Se 2.42
F  0.5817  0.4183  0.2500  1 Pb 2.36, 2 Se 2.42
F  0.6635  0.7766  0.1183  1 Se 1.96
F  0.7622  0.1595  0.5024  1 Se 1.99
F  0.7766  0.6635  0.6183  1 Se 1.96
F  0.8405  0.2378  0.9976  1 Se 1.99

Results
Calculated total energy = -4.152 eV/atom
SG = No. 15

=====

Compound: Ag2RuRh
Source: Alexandria
Functional: PBE
Structure: relaxed

Cell: 2.8404 4.8112 9.5150 Å, 90.00 90.00 90.00°
With the nearest neighbours (Å) after each atom.
Sites, in units of the cell vectors:
Ag  0.0000  0.0000  0.0000  4 Ru 2.80, 2 Rh 2.83, 4 Ag 2.84-2.88
Ag  0.0000  0.5000  0.2365  4 Rh 2.80, 4 Ag 2.84-2.88, 2 Ru 2.85
Ag  0.5000  0.0000  0.7365  4 Rh 2.80, 4 Ag 2.84-2.88, 2 Ru 2.85
Ag  0.5000  0.5000  0.5000  4 Ru 2.80, 2 Rh 2.83, 4 Ag 2.84-2.88
Ru  0.0000  0.0000  0.4766  2 Rh 2.52, 4 Ag 2.80
Ru  0.5000  0.5000  0.9766  2 Rh 2.52, 4 Ag 2.80
Rh  0.0000  0.5000  0.7576  2 Ru 2.52, 4 Ag 2.80
Rh  0.5000  0.0000  0.2576  2 Ru 2.52, 4 Ag 2.80

Results
Energy above the most stable polymorph in this dataset = 275.1 meV per atom
Energy of formation from the pure elements = 11.20 kcal/mol of atoms
SG = No. 44

=====

no.,theoretical density (g/cm³),volume (Å³/atom)
1,2.83,11.91
2,5.74,21.31
3,4.75,19.02
4,10.72,16.25